Here is crystalline MgFeIrPd at its relaxed geometry from Alexandria. Energies are from PBE-GGA.

Structure (POSCAR):
```
MgFeIrPd
1.0
4.3579 0.0000 0.0000
2.1790 3.7741 0.0000
2.1790 1.2580 3.5582
Ir Pd Mg Fe
1 1 1 1
Direct
0.0000 0.0000 0.0000
0.5000 0.5000 0.5000
0.2500 0.2500 0.2500
0.7500 0.7500 0.7500
```

DOS at the Fermi energy	0.734	states/eV per atom
crystal system	cubic
total magnetization	4.19	μB per cell
DFT formation energy	-0.2363	eV per atom